A:
The following is a DFT calculation (GGA-PBE) of an optimized crystal structure of SbHSe2N.

Results
**Mass density**: 4.957 g/cm³
**Calculated volume**: 19.7 Å³/atom

Cell: 3.681 3.681 7.287 Å, 90.00 90.00 90.00°
Fractional coordinates of all 5 atoms:
1 Sb 0.500 0.500 0.500
2 Se 0.000 0.500 0.000
3 N 0.000 0.000 0.500
4 H 0.000 0.000 0.000
5 Se 0.500 0.000 0.000


B:
The following is a DFT calculation (GGA-PBE) of an optimized crystal structure of SbHSe2N.

Results
**Mass density**: 4.081 g/cm³
**Calculated volume**: 24.0 Å³/atom

Cell: 5.408 5.408 4.100 Å, 90.00 90.00 90.00°
Fractional coordinates of all 5 atoms:
1 Se 0.000 0.500 0.000
2 N 0.000 0.000 0.500
3 Sb 0.000 0.000 0.000
4 Se 0.500 0.000 0.000
5 H 0.500 0.500 0.500


On energetic grounds, A is preferred over the next structure by 27.3 kJ/mol of atoms.


A:
The following is a DFT calculation (GGA-PBE) of an optimized crystal structure of SbTe2HN.

Results
**Mass density**: 6.067 g/cm³
**Calculated volume**: 21.5 Å³/atom

Cell: 4.740 4.740 4.776 Å, 90.00 90.00 90.00°
Fractional coordinates of all 5 atoms:
1 Te 0.000 0.500 0.000
2 Sb 0.000 0.000 0.500
3 N 0.000 0.000 0.000
4 H 0.500 0.500 0.500
5 Te 0.500 0.000 0.000


B:
The following is a DFT calculation (GGA-PBE) of an optimized crystal structure of SbTe2HN.

Results
**Mass density**: 6.781 g/cm³
**Calculated volume**: 19.2 Å³/atom

Cell: 5.676 5.676 2.980 Å, 90.00 90.00 90.00°
Fractional coordinates of all 5 atoms:
1 Sb 0.500 0.500 0.500
2 H 0.000 0.000 0.000
3 Te 0.000 0.500 0.000
4 N 0.000 0.000 0.500
5 Te 0.500 0.000 0.000


On energetic grounds, B is preferred over the next structure by 4.4 kJ/mol of atoms.


A:
The following is a DFT calculation (GGA-PBE) of an optimized crystal structure of SbTe2HN.

Results
**Mass density**: 6.382 g/cm³
**Calculated volume**: 20.4 Å³/atom

Cell: 4.728 4.728 4.563 Å, 90.00 90.00 90.00°
Fractional coordinates of all 5 atoms:
1 Sb 0.000 0.000 0.500
2 Te 0.500 0.000 0.000
3 H 0.000 0.000 0.000
4 Te 0.000 0.500 0.000
5 N 0.500 0.500 0.500


B:
The following is a DFT calculation (GGA-PBE) of an optimized crystal structure of SbTe2HN.

Results
**Mass density**: 4.676 g/cm³
**Calculated volume**: 27.8 Å³/atom

Cell: 5.998 5.998 3.870 Å, 90.00 90.00 90.00°
Fractional coordinates of all 5 atoms:
1 H 0.500 0.500 0.500
2 N 0.000 0.000 0.500
3 Sb 0.000 0.000 0.000
4 Te 0.500 0.000 0.000
5 Te 0.000 0.500 0.000


On energetic grounds, B is preferred over the next structure by 3.5 kJ/mol of atoms.


A:
The following is a DFT calculation (GGA-PBE) of an optimized crystal structure of ScHSeN2.

Results
**Mass density**: 2.609 g/cm³
**Calculated volume**: 19.5 Å³/atom

Cell: 4.239 4.239 5.416 Å, 90.00 90.00 90.00°
Fractional coordinates of all 5 atoms:
1 Se 0.000 0.000 0.500
2 N 0.000 0.500 0.000
3 Sc 0.000 0.000 0.000
4 N 0.500 0.000 0.000
5 H 0.500 0.500 0.500


B:
The following is a DFT calculation (GGA-PBE) of an optimized crystal structure of ScHSeN2.

Results
**Mass density**: 4.879 g/cm³
**Calculated volume**: 10.4 Å³/atom

Cell: 4.002 4.002 3.249 Å, 90.00 90.00 90.00°
Fractional coordinates of all 5 atoms:
1 N 0.000 0.500 0.000
2 Se 0.000 0.000 0.500
3 N 0.500 0.000 0.000
4 Sc 0.500 0.500 0.500
5 H 0.000 0.000 0.000


On energetic grounds, B is preferred over the next structure by 39.9 kJ/mol of atoms.


A:
The following is a DFT calculation (GGA-PBE) of an optimized crystal structure of SnHSeN2.

Results
**Mass density**: 6.282 g/cm³
**Calculated volume**: 12.0 Å³/atom

Cell: 4.291 4.291 3.254 Å, 90.00 90.00 90.00°
Fractional coordinates of all 5 atoms:
1 N 0.500 0.000 0.000
2 N 0.000 0.500 0.000
3 H 0.000 0.000 0.000
4 Se 0.000 0.000 0.500
5 Sn 0.500 0.500 0.500


B:
The following is a DFT calculation (GGA-PBE) of an optimized crystal structure of SnHSeN2.

Results
**Mass density**: 3.907 g/cm³
**Calculated volume**: 19.3 Å³/atom

Cell: 4.099 4.099 5.733 Å, 90.00 90.00 90.00°
Fractional coordinates of all 5 atoms:
1 Sn 0.000 0.000 0.000
2 N 0.500 0.000 0.000
3 H 0.500 0.500 0.500
4 N 0.000 0.500 0.000
5 Se 0.000 0.000 0.500


On energetic grounds, A is preferred over the next structure by 9.1 kJ/mol of atoms.


A:
The following is a DFT calculation (GGA-PBE) of an optimized crystal structure of SnHSe2N.

Results
**Mass density**: 4.908 g/cm³
**Calculated volume**: 19.7 Å³/atom

Cell: 3.690 3.690 7.248 Å, 90.00 90.00 90.00°
Fractional coordinates of all 5 atoms:
1 Sn 0.500 0.500 0.500
2 N 0.000 0.000 0.500
3 Se 0.500 0.000 0.000
4 H 0.000 0.000 0.000
5 Se 0.000 0.500 0.000


B:
The following is a DFT calculation (GGA-PBE) of an optimized crystal structure of SnHSe2N.

Results
**Mass density**: 3.937 g/cm³
**Calculated volume**: 24.6 Å³/atom

Cell: 5.453 5.453 4.137 Å, 90.00 90.00 90.00°
Fractional coordinates of all 5 atoms:
1 H 0.500 0.500 0.500
2 Se 0.000 0.500 0.000
3 Sn 0.000 0.000 0.000
4 N 0.000 0.000 0.500
5 Se 0.500 0.000 0.000


On energetic grounds, A is preferred over the next structure by 30.9 kJ/mol of atoms.


A:
The following is a DFT calculation (GGA-PBE) of an optimized crystal structure of TiHSeN2.

Results
**Mass density**: 3.322 g/cm³
**Calculated volume**: 15.6 Å³/atom

Cell: 3.798 3.798 5.399 Å, 90.00 90.00 90.00°
Fractional coordinates of all 5 atoms:
1 N 0.500 0.000 0.000
2 Se 0.000 0.000 0.500
3 Ti 0.000 0.000 0.000
4 H 0.500 0.500 0.500
5 N 0.000 0.500 0.000


B:
The following is a DFT calculation (GGA-PBE) of an optimized crystal structure of TiHSeN2.

Results
**Mass density**: 5.338 g/cm³
**Calculated volume**: 9.7 Å³/atom

Cell: 3.915 3.162 3.915 Å, 90.00 90.00 90.00°
Fractional coordinates of all 5 atoms:
1 H 0.000 0.000 0.000
2 N 0.500 0.000 0.000
3 Ti 0.500 0.500 0.500
4 N 0.000 0.000 0.500
5 Se 0.000 0.500 0.000


On energetic grounds, A is preferred over the next structure by 27.1 kJ/mol of atoms.


A:
The following is a DFT calculation (GGA-PBE) of an optimized crystal structure of TlHSeN2.

Results
**Mass density**: 4.528 g/cm³
**Calculated volume**: 22.9 Å³/atom

Cell: 4.451 4.451 5.781 Å, 90.00 90.00 90.00°
Fractional coordinates of all 5 atoms:
1 Tl 0.000 0.000 0.000
2 N 0.000 0.500 0.000
3 Se 0.000 0.000 0.500
4 N 0.500 0.000 0.000
5 H 0.500 0.500 0.500


B:
The following is a DFT calculation (GGA-PBE) of an optimized crystal structure of TlHSeN2.

Results
**Mass density**: 8.155 g/cm³
**Calculated volume**: 12.7 Å³/atom

Cell: 4.367 4.367 3.334 Å, 90.00 90.00 90.00°
Fractional coordinates of all 5 atoms:
1 H 0.000 0.000 0.000
2 N 0.000 0.500 0.000
3 Tl 0.500 0.500 0.500
4 N 0.500 0.000 0.000
5 Se 0.000 0.000 0.500


On energetic grounds, B is preferred over the next structure by 40.6 kJ/mol of atoms.


A:
The following is a DFT calculation (GGA-PBE) of an optimized crystal structure of VHSeN2.

Results
**Mass density**: 5.658 g/cm³
**Calculated volume**: 9.3 Å³/atom

Cell: 3.896 3.896 3.072 Å, 90.00 90.00 90.00°
Fractional coordinates of all 5 atoms:
1 V 0.500 0.500 0.500
2 Se 0.000 0.000 0.500
3 N 0.000 0.500 0.000
4 H 0.000 0.000 0.000
5 N 0.500 0.000 0.000


B:
The following is a DFT calculation (GGA-PBE) of an optimized crystal structure of VHSeN2.

Results
**Mass density**: 3.776 g/cm³
**Calculated volume**: 14.0 Å³/atom

Cell: 3.649 3.649 5.250 Å, 90.00 90.00 90.00°
Fractional coordinates of all 5 atoms:
1 Se 0.000 0.000 0.500
2 N 0.000 0.500 0.000
3 H 0.500 0.500 0.500
4 V 0.000 0.000 0.000
5 N 0.500 0.000 0.000


On energetic grounds, B is preferred over the next structure by 74.3 kJ/mol of atoms.


A:
The following is a DFT calculation (GGA-PBE) of an optimized crystal structure of HWSeN2.

Results
**Mass density**: 10.173 g/cm³
**Calculated volume**: 9.5 Å³/atom

Cell: 3.976 3.976 3.012 Å, 90.00 90.00 90.00°
Fractional coordinates of all 5 atoms:
1 H 0.000 0.000 0.000
2 W 0.500 0.500 0.500
3 N 0.500 0.000 0.000
4 Se 0.000 0.000 0.500
5 N 0.000 0.500 0.000


B:
The following is a DFT calculation (GGA-PBE) of an optimized crystal structure of HWSeN2.

Results
**Mass density**: 6.186 g/cm³
**Calculated volume**: 15.7 Å³/atom

Cell: 3.853 3.853 5.276 Å, 90.00 90.00 90.00°
Fractional coordinates of all 5 atoms:
1 W 0.000 0.000 0.000
2 H 0.500 0.500 0.500
3 N 0.000 0.500 0.000
4 Se 0.000 0.000 0.500
5 N 0.500 0.000 0.000


On energetic grounds, B is preferred over the next structure by 92.4 kJ/mol of atoms.


A:
The following is a DFT calculation (GGA-PBE) of an optimized crystal structure of HWSe2N.

Results
**Mass density**: 6.127 g/cm³
**Calculated volume**: 19.3 Å³/atom

Cell: 5.010 5.010 3.852 Å, 90.00 90.00 90.00°
Fractional coordinates of all 5 atoms:
1 H 0.500 0.500 0.500
2 W 0.000 0.000 0.000
3 N 0.000 0.000 0.500
4 Se 0.000 0.500 0.000
5 Se 0.500 0.000 0.000


B:
The following is a DFT calculation (GGA-PBE) of an optimized crystal structure of HWSe2N.

Results
**Mass density**: 9.436 g/cm³
**Calculated volume**: 12.6 Å³/atom

Cell: 3.650 3.650 4.714 Å, 90.00 90.00 90.00°
Fractional coordinates of all 5 atoms:
1 N 0.000 0.000 0.500
2 Se 0.500 0.000 0.000
3 H 0.000 0.000 0.000
4 W 0.500 0.500 0.500
5 Se 0.000 0.500 0.000


On energetic grounds, A is preferred over the next structure by 88.8 kJ/mol of atoms.


A:
The following is a DFT calculation (GGA-PBE) of an optimized crystal structure of ZrHSe2N.

Results
**Mass density**: 3.642 g/cm³
**Calculated volume**: 24.1 Å³/atom

Cell: 5.305 5.305 4.280 Å, 90.00 90.00 90.00°
Fractional coordinates of all 5 atoms:
1 Se 0.500 0.000 0.000
2 Se 0.000 0.500 0.000
3 Zr 0.000 0.000 0.000
4 N 0.000 0.000 0.500
5 H 0.500 0.500 0.500


B:
The following is a DFT calculation (GGA-PBE) of an optimized crystal structure of ZrHSe2N.

Results
**Mass density**: 6.125 g/cm³
**Calculated volume**: 14.3 Å³/atom

Cell: 3.657 3.657 5.355 Å, 90.00 90.00 90.00°
Fractional coordinates of all 5 atoms:
1 Zr 0.500 0.500 0.500
2 Se 0.000 0.500 0.000
3 H 0.000 0.000 0.000
4 N 0.000 0.000 0.500
5 Se 0.500 0.000 0.000


On energetic grounds, B is preferred over the next structure by 4.0 kJ/mol of atoms.